*w*
A plane-wave DFT calculation with PBE was carried out for an optimized crystal structure of AgPd3Se6.

Geometry as POSCAR:
```
AgPd3Se6
1.0
3.778 0.000 0.000
0.000 12.786 -6.301
0.000 -3.301 10.660
Pd Se Ag
6 12 2
direct
0.750 0.549 0.841
0.750 0.030 0.169
0.250 0.970 0.831
0.750 0.847 0.440
0.250 0.451 0.159
0.250 0.153 0.560
0.750 0.994 0.369
0.750 0.817 0.650
0.250 0.679 0.037
0.750 0.119 0.032
0.250 0.687 0.260
0.750 0.313 0.740
0.750 0.512 0.356
0.750 0.321 0.963
0.250 0.183 0.350
0.250 0.006 0.631
0.250 0.488 0.644
0.250 0.881 0.968
0.250 0.333 0.285
0.750 0.667 0.715
```

Summary:
* M_tot: 0.000 μB per formula unit

---

*x*
A plane-wave DFT calculation with PBE was carried out for an optimized crystal structure of AgPd3Se6.

Geometry as POSCAR:
```
AgPd3Se6
1.0
-5.343 0.124 -3.943
-6.040 -1.038 2.559
-4.350 5.212 0.465
Se Pd Ag
6 3 1
direct
0.061 0.440 0.755
0.272 0.945 0.249
0.945 0.534 0.249
0.534 0.272 0.249
0.440 0.744 0.755
0.744 0.061 0.755
0.147 0.147 0.560
0.345 0.345 0.964
0.654 0.654 0.037
0.858 0.858 0.425
```

Summary:
* M_tot: 0.000 μB per formula unit

---

Preferred: *w*; penalty for the next structure: 30 meV/atom.